# 1
Compound: NdDy3Zr2N6
Source: Alexandria via LeMat-Bulk
Functional: PBE
Structure: optimized geometry

The structure in POSCAR format:
```
NdDy3Zr2N6
1.0
7.4489 -1.7078 0.0000
7.4489 1.7078 0.0000
-1.5610 0.0000 6.6922
Nd Dy Zr N
1 3 2 6
Direct
0.0000 0.0000 0.0000
0.0000 0.0000 0.5000
0.3322 0.3322 0.1681
0.6678 0.6678 0.8319
0.3321 0.3321 0.6633
0.6679 0.6679 0.3367
0.1718 0.1718 0.1018
0.1716 0.1716 0.5750
0.4905 0.4905 0.7343
0.5095 0.5095 0.2657
0.8284 0.8284 0.4250
0.8282 0.8282 0.8982
```

Computed properties:
Energy, Ha/atom: -0.3224
Space group: C2/m (12)


# 2
Compound: Dy4Ni2N
Source: Alexandria via LeMat-Bulk
Functional: PBE
Structure: optimized geometry

The structure in POSCAR format:
```
Dy4Ni2N
1.0
-2.2918 2.2918 7.4032
2.2918 -2.2918 7.4032
2.2918 2.2918 -7.4032
Dy Ni N
4 2 1
Direct
0.0000 0.5000 0.5000
0.1902 0.1902 0.0000
0.5000 0.0000 0.5000
0.8098 0.8098 0.0000
0.3682 0.3682 0.0000
0.6318 0.6318 0.0000
0.5000 0.5000 0.0000
```

Computed properties:
Energy, Ha/atom: -0.2130
Space group: I4/mmm (139)


# 3
Compound: Dy2NiN
Source: Alexandria via LeMat-Bulk
Functional: PBE
Structure: optimized geometry

The structure in POSCAR format:
```
Dy2NiN
1.0
1.6727 0.9657 7.8685
-1.6727 0.9657 7.8685
0.0000 -1.9314 7.8685
Dy Ni N
2 1 1
Direct
0.1084 0.1084 0.1084
0.8916 0.8916 0.8916
0.0000 0.0000 0.0000
0.5000 0.5000 0.5000
```

Computed properties:
Energy, Ha/atom: -0.2297
Space group: R-3m (166)


# 4
Compound: Dy6Ni2N
Source: Alexandria via LeMat-Bulk
Functional: PBE
Structure: optimized geometry

The structure in POSCAR format:
```
Dy6Ni2N
1.0
6.3114 0.0000 0.0000
0.0000 6.8386 0.0000
-6.1322 0.0000 9.4952
Dy Ni N
12 4 2
Direct
0.1146 0.0379 0.2400
0.1146 0.4621 0.7400
0.2381 0.6918 0.0626
0.2381 0.8082 0.5626
0.3728 0.1777 0.0615
0.3728 0.3223 0.5615
0.6272 0.6777 0.4385
0.6272 0.8223 0.9385
0.7619 0.1918 0.4374
0.7619 0.3082 0.9374
0.8854 0.5379 0.2600
0.8854 0.9621 0.7600
0.2988 0.0945 0.7541
0.2988 0.4055 0.2541
0.7012 0.5945 0.7459
0.7012 0.9055 0.2459
0.0000 0.0000 0.0000
0.0000 0.5000 0.5000
```

Computed properties:
Energy, Ha/atom: -0.2150
Space group: P2_1/c (14)


# 5
Compound: DyNiPN
Source: Alexandria via LeMat-Bulk
Functional: PBE
Structure: optimized geometry

The structure in POSCAR format:
```
DyNiPN
1.0
3.6714 0.0000 0.0000
0.0000 3.6714 0.0000
0.0000 0.0000 7.8786
Dy Ni P N
2 2 2 2
Direct
0.2500 0.2500 0.1658
0.7500 0.7500 0.8342
0.2500 0.7500 0.5000
0.7500 0.2500 0.5000
0.2500 0.2500 0.6561
0.7500 0.7500 0.3439
0.2500 0.2500 0.8731
0.7500 0.7500 0.1269
```

Computed properties:
Energy, Ha/atom: -0.2636
Space group: P4/nmm (129)


# 6
Compound: Dy2PaNiN4
Source: Alexandria via LeMat-Bulk
Functional: PBE
Structure: optimized geometry

The structure in POSCAR format:
```
Dy2PaNiN4
1.0
1.6791 -5.5621 0.0000
1.6791 5.5621 0.0000
0.0000 0.0000 11.5228
Dy Pa Ni N
4 2 2 8
Direct
0.1297 0.8703 0.5559
0.1297 0.8703 0.9441
0.8703 0.1297 0.0559
0.8703 0.1297 0.4441
0.3877 0.6123 0.7500
0.6123 0.3877 0.2500
0.3488 0.6512 0.2500
0.6512 0.3488 0.7500
0.0396 0.9604 0.7500
0.2170 0.7830 0.1327
0.2170 0.7830 0.3673
0.5000 0.5000 0.0000
0.5000 0.5000 0.5000
0.7830 0.2170 0.6327
0.7830 0.2170 0.8673
0.9604 0.0396 0.2500
```

Computed properties:
Energy, Ha/atom: -0.3113
Space group: Cmcm (63)


Density readings, ordered: 8.76, 8.34, 8.66, 8.97, 8.32, 10.35 g/cm³